# Ba3CuAu3

Crystalline Ba3CuAu3 at its relaxed geometry (PBE, Alexandria).

Computed properties:
Fermi-level density of states (states/eV/atom): 0.61
Volume (Å³ per cell): 225
Raw total energy (eV per atom): -3.3898
Total moment (μB per cell): 0.0
Formation enthalpy at 0 K (eV per atom): -0.576

Cell lengths 10.9872, 10.9872, 10.9872 Å; angles 156.08, 155.29, 34.66 degrees
Closest atoms and distances in Å follow each position.
Atoms (fractional coordinates):
Ba  0.0000  0.0000  0.0000  6 Au 3.35-3.44
Ba  0.3615  0.3615  0.0000  2 Cu 3.30, 5 Au 3.42-3.62
Ba  0.6810  0.1810  0.5000  8 Au 3.49-3.83, 4 Cu 3.56
Cu  0.2475  0.7475  0.5000  3 Au 2.62-2.73
Au  0.1227  0.6227  0.5000  1 Cu 2.62
Au  0.5342  0.5342  0.0000  2 Au 3.00, 4 Ba 3.35
Au  0.8134  0.8134  0.0000  2 Cu 2.73